A:
A relaxed structure of PrPdCl. Source: Alexandria via LeMat-Bulk, functional PBE-GGA.

Results
M_tot: 0.00 μB per cell

a b c (Å): 5.367 8.868 8.629
angles (deg): 84.60 71.88 72.39
Atoms (fractional coordinates):
Cl (0.528, 0.619, 0.326)
Cl (0.146, 0.381, 0.326)
Cl (0.854, 0.619, 0.674)
Cl (0.472, 0.381, 0.674)
Pd (0.737, 0.000, 0.526)
Pd (0.924, 0.152, 0.000)
Pd (0.076, 0.848, 0.000)
Pd (0.263, 0.000, 0.474)
Pr (0.970, 0.749, 0.311)
Pr (0.719, 0.251, 0.311)
Pr (0.281, 0.749, 0.689)
Pr (0.030, 0.251, 0.689)


B:
A relaxed structure of PrPdCl. Source: Alexandria via LeMat-Bulk, functional PBE-GGA.

Results
M_tot: 0.00 μB per cell

a b c (Å): 3.706 4.758 4.758
angles (deg): 120.00 90.00 90.00
Atoms (fractional coordinates):
Pr (0.167, 0.000, 0.000)
Pd (0.667, 0.667, 0.333)
Cl (0.166, 0.333, 0.667)


On energetic grounds, A is preferred over the next structure by 11.5 kJ/mol of atoms.


A:
A relaxed structure of PdPt3Cl. Source: Alexandria via LeMat-Bulk, functional PBE-GGA.

Results
M_tot: 1.47 μB per cell

a b c (Å): 4.887 4.887 4.887
angles (deg): 90.00 90.00 90.00
Each line ends with the local moment (μB).
Atoms (fractional coordinates):
Pd (0.000, 0.000, 0.000)  0.43
Pt (0.000, 0.500, 0.000)  0.29
Pt (0.000, 0.000, 0.500)  0.52
Pt (0.500, 0.000, 0.000)  0.09
Cl (0.500, 0.500, 0.500)  0.09


B:
A relaxed structure of PdPt3Cl. Source: Alexandria via LeMat-Bulk, functional PBE-GGA.

Results
M_tot: 0.00 μB per cell

a b c (Å): 4.497 4.497 4.497
angles (deg): 90.00 90.00 90.00
Atoms (fractional coordinates):
Pd (0.500, 0.500, 0.500)
Pt (0.000, 0.500, 0.000)
Pt (0.000, 0.000, 0.500)
Pt (0.500, 0.000, 0.000)
Cl (0.000, 0.000, 0.000)


On energetic grounds, B is preferred over the next structure by 49.1 kJ/mol of atoms.


A:
A relaxed structure of Pd2PtCl. Source: Alexandria via LeMat-Bulk, functional PBE-GGA.

Results
M_tot: 0.00 μB per cell

a b c (Å): 7.165 7.165 5.724
angles (deg): 51.25 51.25 90.00
Atoms (fractional coordinates):
Pd (0.611, 0.125, 0.250)
Pd (0.139, 0.625, 0.250)
Pd (0.375, 0.389, 0.750)
Pd (0.875, 0.861, 0.750)
Pt (0.000, 0.000, 0.000)
Pt (0.750, 0.250, 0.500)
Cl (0.500, 0.500, 0.000)
Cl (0.250, 0.750, 0.500)


B:
A relaxed structure of Pd2PtCl. Source: Alexandria via LeMat-Bulk, functional PBE-GGA.

Results
M_tot: 0.00 μB per cell

a b c (Å): 4.524 4.524 4.524
angles (deg): 60.00 60.00 60.00
Atoms (fractional coordinates):
Pd (0.250, 0.250, 0.250)
Pd (0.750, 0.750, 0.750)
Pt (0.500, 0.500, 0.500)
Cl (0.000, 0.000, 0.000)


On energetic grounds, B is preferred over the next structure by 0.6 kJ/mol of atoms.


A:
A relaxed structure of Pd2PtCl8. Source: Alexandria via LeMat-Bulk, functional PBE-GGA.

Results
M_tot: 0.00 μB per cell

a b c (Å): 7.369 6.596 9.292
angles (deg): 105.00 90.00 123.96
Atoms (fractional coordinates):
Pd (0.890, 0.779, 0.602)
Pd (0.110, 0.221, 0.398)
Pt (0.000, 0.000, 0.000)
Cl (0.882, 0.186, 0.180)
Cl (0.304, 0.186, 0.180)
Cl (0.118, 0.814, 0.820)
Cl (0.329, 0.657, 0.476)
Cl (0.696, 0.814, 0.820)
Cl (0.885, 0.770, 0.346)
Cl (0.115, 0.230, 0.654)
Cl (0.671, 0.343, 0.524)


B:
A relaxed structure of Pd2PtCl8. Source: Alexandria via LeMat-Bulk, functional PBE-GGA.

Results
M_tot: 2.06 μB per cell

a b c (Å): 6.138 7.648 7.648
angles (deg): 65.28 98.37 98.37
Each line ends with the local moment (μB).
Atoms (fractional coordinates):
Pd (0.696, 0.216, 0.216)  0.56
Pd (0.304, 0.784, 0.784)  0.56
Pt (0.000, 0.000, 0.000)  -0.03
Cl (0.177, 0.100, 0.718)  0.10
Cl (0.177, 0.718, 0.100)  0.10
Cl (0.823, 0.900, 0.282)  0.10
Cl (0.374, 0.619, 0.619)  0.15
Cl (0.823, 0.282, 0.900)  0.10
Cl (0.314, 0.153, 0.153)  0.00
Cl (0.686, 0.847, 0.847)  0.00
Cl (0.626, 0.381, 0.381)  0.15


On energetic grounds, A is preferred over the next structure by 8.9 kJ/mol of atoms.


A:
A relaxed structure of PdPtSCl2. Source: Alexandria via LeMat-Bulk, functional PBE-GGA.

Results
M_tot: 1.06 μB per cell

a b c (Å): 4.710 4.710 4.827
angles (deg): 90.00 90.00 90.00
Each line ends with the local moment (μB).
Atoms (fractional coordinates):
S (0.000, 0.000, 0.500)  0.12
Pd (0.000, 0.000, 0.000)  0.03
Pt (0.500, 0.500, 0.500)  0.68
Cl (0.000, 0.500, 0.000)  0.05
Cl (0.500, 0.000, 0.000)  0.05


B:
A relaxed structure of PdPtSCl2. Source: Alexandria via LeMat-Bulk, functional PBE-GGA.

Results
M_tot: 0.00 μB per cell

a b c (Å): 4.970 4.970 4.542
angles (deg): 90.00 90.00 90.00
Atoms (fractional coordinates):
S (0.000, 0.000, 0.500)
Pd (0.500, 0.500, 0.500)
Pt (0.000, 0.000, 0.000)
Cl (0.000, 0.500, 0.000)
Cl (0.500, 0.000, 0.000)


On energetic grounds, B is preferred over the next structure by 25.0 kJ/mol of atoms.


A:
A relaxed structure of RbPdCl. Source: Alexandria via LeMat-Bulk, functional PBE-GGA.

Results
M_tot: 0.00 μB per cell

a b c (Å): 5.029 5.029 5.029
angles (deg): 60.00 60.00 60.00
Atoms (fractional coordinates):
Rb (0.250, 0.250, 0.250)
Pd (0.750, 0.750, 0.750)
Cl (0.000, 0.000, 0.000)


B:
A relaxed structure of RbPdCl. Source: Alexandria via LeMat-Bulk, functional PBE-GGA.

Results
M_tot: 0.00 μB per cell

a b c (Å): 10.336 4.972 9.425
angles (deg): 74.67 109.67 43.86
Atoms (fractional coordinates):
Pd (0.295, 0.802, 0.364)
Pd (0.795, 0.802, 0.864)
Rb (0.310, 0.405, 0.114)
Rb (0.281, 0.198, 0.613)
Cl (0.774, 0.703, 0.113)
Cl (0.816, 0.900, 0.614)


C:
A relaxed structure of RbPdCl. Source: Alexandria via LeMat-Bulk, functional PBE-GGA.

Results
M_tot: 0.00 μB per cell

a b c (Å): 8.696 4.980 4.696
angles (deg): 89.91 87.53 73.39
Atoms (fractional coordinates):
Pd (0.028, 0.297, 0.348)
Pd (0.852, 0.388, 0.859)
Rb (0.278, 0.672, 0.391)
Rb (0.736, 0.944, 0.366)
Cl (0.567, 0.534, 0.870)
Cl (0.129, 0.245, 0.847)


On energetic grounds, B is preferred over the next structure by 1.9 kJ/mol of atoms.